{
  "formula": "KNaHgTe",
  "functional": "PBE",
  "state": "relaxed",
  "lattice": [[-1.726, -1.638, 5.158], [-1.360, -5.433, 0.947], [3.365, -3.250, 3.222]],
  "species": ["Na", "K", "Te", "Hg"],
  "fractional_positions": [[0.500, 0.500, 0.500], [0.000, 0.000, 0.000], [0.250, 0.250, 0.250], [0.750, 0.750, 0.750]],
  "vol_a3_per_atom": 32.40,
  "crystal_system": "cubic",
  "sg": "F-43m, No. 216",
  "formation_energy_uncorrected_mev_per_atom": -692
}